1.
A relaxed structure of BaYSc2. Source: Alexandria via LeMat-Bulk, functional PBE. Values from VASP.

```
&SYSTEM
  ibrav = 0, nat = 16, ntyp = 3
/
ATOMIC_SPECIES
Ba 137.33 Ba.upf
Y 88.91 Y.upf
Sc 44.96 Sc.upf
CELL_PARAMETERS angstrom
4.745 0.000 0.000
0.000 4.745 0.000
0.000 0.000 23.688
ATOMIC_POSITIONS crystal
Ba 0.000 0.000 0.000
Ba 0.000 0.500 0.250
Ba 0.500 0.000 0.750
Ba 0.500 0.500 0.500
Y 0.000 0.000 0.500
Y 0.000 0.500 0.750
Y 0.500 0.000 0.250
Y 0.500 0.500 0.000
Sc 0.237 0.750 0.625
Sc 0.250 0.237 0.375
Sc 0.250 0.263 0.875
Sc 0.263 0.750 0.125
Sc 0.737 0.250 0.125
Sc 0.750 0.737 0.875
Sc 0.750 0.763 0.375
Sc 0.763 0.250 0.625
```

## Properties
Density   3937 kg/m³
Energy of formation   2.70 eV per formula unit
Space group   I-42d (122)
Excess energy over the best structure of this formula in the dataset   0.481 eV/atom

***

2.
A relaxed structure of LaSm3As4. Source: Alexandria via LeMat-Bulk, functional PBE. Values from VASP.

```
&SYSTEM
  ibrav = 0, nat = 16, ntyp = 3
/
ATOMIC_SPECIES
La 138.91 La.upf
Sm 150.36 Sm.upf
As 74.92 As.upf
CELL_PARAMETERS angstrom
8.513 0.000 0.000
0.000 12.032 0.000
0.000 0.000 4.258
ATOMIC_POSITIONS crystal
La 0.000 0.000 0.000
La 0.500 0.500 0.000
Sm 0.000 0.500 0.000
Sm 0.250 0.250 0.500
Sm 0.250 0.750 0.500
Sm 0.500 0.000 0.000
Sm 0.750 0.250 0.500
Sm 0.750 0.750 0.500
As 0.000 0.252 0.000
As 0.000 0.748 0.000
As 0.245 0.500 0.500
As 0.255 0.000 0.500
As 0.500 0.248 0.000
As 0.500 0.752 0.000
As 0.745 0.000 0.500
As 0.755 0.500 0.500
```

## Properties
Density   6775 kg/m³
Energy of formation   -12.28 eV per formula unit
Space group   Cmmm (65)
Excess energy over the best structure of this formula in the dataset   0.000 eV/atom

***

3.
A relaxed structure of Ca3CuNi8. Source: Alexandria via LeMat-Bulk, functional PBE. Values from VASP.

```
&SYSTEM
  ibrav = 0, nat = 12, ntyp = 3
/
ATOMIC_SPECIES
Ca 40.08 Ca.upf
Cu 63.55 Cu.upf
Ni 58.69 Ni.upf
CELL_PARAMETERS angstrom
2.490 1.438 8.109
-2.490 1.438 8.109
0.000 -2.875 8.109
ATOMIC_POSITIONS crystal
Ca 0.000 0.000 0.000
Ca 0.128 0.128 0.128
Ca 0.511 0.511 0.511
Cu 0.634 0.634 0.634
Ni 0.060 0.566 0.566
Ni 0.068 0.068 0.570
Ni 0.068 0.570 0.068
Ni 0.316 0.316 0.316
Ni 0.566 0.060 0.566
Ni 0.566 0.566 0.060
Ni 0.570 0.068 0.068
Ni 0.817 0.817 0.817
```

## Properties
Density   6228 kg/m³
Energy of formation   -1.32 eV per formula unit
Space group   R3m (160)

***

4.
A relaxed structure of HAuSeN. Source: Alexandria via LeMat-Bulk, functional PBE. Values from VASP.

```
&SYSTEM
  ibrav = 0, nat = 4, ntyp = 4
/
ATOMIC_SPECIES
H 1.01 H.upf
Au 196.97 Au.upf
Se 78.96 Se.upf
N 14.01 N.upf
CELL_PARAMETERS angstrom
3.227 0.000 0.000
-1.581 4.137 0.000
0.000 -1.446 5.245
ATOMIC_POSITIONS crystal
H 0.000 0.000 0.000
Au 0.165 0.346 0.630
Se 0.274 0.569 0.265
N 0.111 0.237 0.975
```

## Properties
Density   6898 kg/m³
Space group   P1 (1)
Excess energy over the best structure of this formula in the dataset   0.000 eV/atom

***

5.
A relaxed structure of PuScBi3. Source: Alexandria via LeMat-Bulk, functional PBE. Values from VASP.

```
&SYSTEM
  ibrav = 0, nat = 20, ntyp = 3
/
ATOMIC_SPECIES
Pu 244.00 Pu.upf
Sc 44.96 Sc.upf
Bi 208.98 Bi.upf
CELL_PARAMETERS angstrom
13.480 0.000 0.000
0.000 6.397 0.000
0.000 0.000 6.749
ATOMIC_POSITIONS crystal
Pu 0.185 0.005 0.250
Pu 0.185 0.495 0.750
Pu 0.815 0.505 0.250
Pu 0.815 0.995 0.750
Sc 0.397 0.750 0.000
Sc 0.397 0.750 0.500
Sc 0.603 0.250 0.000
Sc 0.603 0.250 0.500
Bi 0.003 0.750 0.000
Bi 0.003 0.750 0.500
Bi 0.246 0.001 0.750
Bi 0.246 0.499 0.250
Bi 0.424 0.142 0.250
Bi 0.424 0.358 0.750
Bi 0.576 0.642 0.250
Bi 0.576 0.858 0.750
Bi 0.754 0.501 0.750
Bi 0.754 0.999 0.250
Bi 0.997 0.250 0.000
Bi 0.997 0.250 0.500
```

## Properties
Density   10453 kg/m³
Energy of formation   -1.89 eV per formula unit
Space group   Pbcm (57)

***

6.
A relaxed structure of SnB2Mo. Source: Alexandria via LeMat-Bulk, functional PBE. Values from VASP.

```
&SYSTEM
  ibrav = 0, nat = 16, ntyp = 3
/
ATOMIC_SPECIES
Sn 118.71 Sn.upf
B 10.81 B.upf
Mo 95.94 Mo.upf
CELL_PARAMETERS angstrom
5.224 0.000 0.000
0.000 5.224 0.000
0.000 0.000 9.662
ATOMIC_POSITIONS crystal
Sn 0.000 0.000 0.000
Sn 0.000 0.500 0.250
Sn 0.500 0.000 0.750
Sn 0.500 0.500 0.500
B 0.214 0.250 0.625
B 0.250 0.714 0.875
B 0.250 0.786 0.375
B 0.286 0.250 0.125
B 0.714 0.750 0.125
B 0.750 0.214 0.375
B 0.750 0.286 0.875
B 0.786 0.750 0.625
Mo 0.000 0.000 0.500
Mo 0.000 0.500 0.750
Mo 0.500 0.000 0.250
Mo 0.500 0.500 0.000
```

## Properties
Density   5951 kg/m³
Energy of formation   3.26 eV per formula unit
Space group   I-42d (122)

***

7.
A relaxed structure of Hf8FeOs2. Source: Alexandria via LeMat-Bulk, functional PBE. Values from VASP.

```
&SYSTEM
  ibrav = 0, nat = 11, ntyp = 3
/
ATOMIC_SPECIES
Hf 178.49 Hf.upf
Fe 55.84 Fe.upf
Os 190.23 Os.upf
CELL_PARAMETERS angstrom
7.834 -2.263 0.000
7.834 2.263 0.000
-1.841 0.000 6.125
ATOMIC_POSITIONS crystal
Hf 0.017 0.017 0.263
Hf 0.199 0.199 0.795
Hf 0.339 0.339 0.547
Hf 0.406 0.406 0.043
Hf 0.594 0.594 0.957
Hf 0.661 0.661 0.453
Hf 0.801 0.801 0.205
Hf 0.983 0.983 0.737
Fe 0.500 0.500 0.500
Os 0.184 0.184 0.201
Os 0.816 0.816 0.799
```

## Properties
Density   14251 kg/m³
Energy of formation   -2.43 eV per formula unit
Space group   C2/m (12)